(1)
## MnNiOsRh (GGA-PBE)

Data for a relaxed structure of MnNiOsRh.

It has space group F-43m (No. 216), with a = 5.921 Å, b = 5.921 Å, c = 5.921 Å, α = 90.00°, β = 90.00° and γ = 90.00°. The asymmetric unit holds Mn at (0.000, 0.000, 0.000), Ni at (0.000, 0.000, 0.500), Os at (0.250, 0.250, 0.250) and Rh at (0.250, 0.250, 0.750).

The formation energy is 2.8 kcal/mol of atoms. For the raw total energy, the calculation gives -8.262 eV/atom. As for the magnetization: 2.04 μB per formula unit.


(2)
## NbInP2Au (GGA-PBE)

Data for a relaxed structure of NbInP2Au.

It has space group P4/mmm (No. 123), with a = 4.783 Å, b = 4.783 Å, c = 5.230 Å, α = 90.00°, β = 90.00° and γ = 90.00°. The asymmetric unit holds Nb at (0.000, 0.000, 0.000), In at (0.500, 0.500, 0.000), P at (0.000, 0.500, 0.500) and Au at (0.500, 0.500, 0.500).

The formation energy is 27.4 kcal/mol of atoms. For the raw total energy, the calculation gives -4.194 eV/atom. As for the magnetization: 2.41 μB per formula unit.


(3)
## EuGd3H (GGA-PBE)

Data for a relaxed structure of EuGd3H.

It has space group Pm-3m (No. 221), with a = 5.092 Å, b = 5.092 Å, c = 5.092 Å, α = 90.00°, β = 90.00° and γ = 90.00°. The asymmetric unit holds Eu at (0.000, 0.000, 0.000), Gd at (0.000, 0.500, 0.500) and H at (0.500, 0.500, 0.500).

For the raw total energy, the calculation gives -11.288 eV/atom. As for the magnetization: 14.83 μB per formula unit.


(4)
## SrNb2H (GGA-PBE)

Data for a relaxed structure of SrNb2H.

It has space group Fm-3m (No. 225), with a = 6.702 Å, b = 6.702 Å, c = 6.702 Å, α = 90.00°, β = 90.00° and γ = 90.00°. The asymmetric unit holds Sr at (0.000, 0.000, 0.000), Nb at (0.250, 0.250, 0.250) and H at (0.000, 0.000, 0.500).

For the raw total energy, the calculation gives -4.424 eV/atom. As for the magnetization: 0.00 μB per formula unit. The offset from the most stable computed form comes out at 1492 meV/atom.


(5)
## Nb3GeAs (GGA-PBE)

Data for a relaxed structure of Nb3GeAs.

It has space group Pm-3m (No. 221), with a = 4.755 Å, b = 4.755 Å, c = 4.755 Å, α = 90.00°, β = 90.00° and γ = 90.00°. The asymmetric unit holds Nb at (0.000, 0.000, 0.500), Ge at (0.500, 0.500, 0.500) and As at (0.000, 0.000, 0.000).

The formation energy is 17.0 kcal/mol of atoms. For the raw total energy, the calculation gives -7.160 eV/atom. As for the magnetization: 0.00 μB per formula unit. The offset from the most stable computed form comes out at 840 meV/atom.


(6)
## YMnCuC (GGA-PBE)

Data for a relaxed structure of YMnCuC.

It has space group P4/nmm (No. 129, origin choice 2), with a = 3.363 Å, b = 3.363 Å, c = 10.051 Å, α = 90.00°, β = 90.00° and γ = 90.00°. The asymmetric unit holds Y at (0.250, 0.250, 0.246), Mn at (0.250, 0.750, 0.000), Cu at (0.250, 0.750, 0.500) and C at (0.250, 0.250, 0.885).

The formation energy is -3.1 kcal/mol of atoms. For the raw total energy, the calculation gives -7.373 eV/atom. As for the magnetization: 0.99 μB per formula unit.


(7)
## Pr2Ho5ErSc (GGA-PBE)

Data for a relaxed structure of Pr2Ho5ErSc.

It has space group Cmc2_1 (No. 36), with a = 5.540 Å, b = 20.060 Å, c = 10.358 Å, α = 90.00°, β = 90.00° and γ = 90.00°. The asymmetric unit holds Pr at (0.000, 0.113, 0.000), Pr at (0.000, 0.116, 0.421), Ho at (0.000, 0.015, 0.703), Ho at (0.000, 0.275, 0.006), Ho at (0.000, 0.298, 0.388), Ho at (0.000, 0.374, 0.706), Ho at (0.000, 0.483, 0.428), Er at (0.000, 0.407, 0.146) and Sc at (0.000, 0.196, 0.700).

The formation energy is 3.5 kcal/mol of atoms. For the raw total energy, the calculation gives -4.663 eV/atom. As for the magnetization: 0.00 μB per formula unit.


(8)
## K2Be2Ru (GGA-PBE)

Data for a relaxed structure of K2Be2Ru.

It has space group P4/mbm (No. 127), with a = 9.617 Å, b = 9.617 Å, c = 2.603 Å, α = 90.00°, β = 90.00° and γ = 90.00°. The asymmetric unit holds K at (0.206, 0.294, 0.000), Be at (0.078, 0.578, 0.500) and Ru at (0.000, 0.000, 0.000).

The formation energy is 34.5 kcal/mol of atoms. For the raw total energy, the calculation gives -2.288 eV/atom. As for the magnetization: 1.28 μB per formula unit. The offset from the most stable computed form comes out at 515 meV/atom.


(9)
## LaMn2Pb (GGA-PBE)

Data for a relaxed structure of LaMn2Pb.

It has space group R-3m (No. 166, hexagonal axes), with a = 3.3993 Å, b = 3.3993 Å, c = 28.6234 Å, α = 90.00°, β = 90.00° and γ = 120.00°. The asymmetric unit holds La at (0.0000, 0.0000, 0.0000), Mn at (0.0000, 0.0000, 0.2467) and Pb at (0.0000, 0.0000, 0.5000).

The formation energy is 12.7 kcal/mol of atoms. For the raw total energy, the calculation gives -6.192 eV/atom. As for the magnetization: 7.06 μB per formula unit.


(10)
## Na3RhF (GGA-PBE)

Data for a relaxed structure of Na3RhF.

It has space group Pm-3m (No. 221), with a = 4.579 Å, b = 4.579 Å, c = 4.579 Å, α = 90.00°, β = 90.00° and γ = 90.00°. The asymmetric unit holds Na at (0.000, 0.000, 0.500), Rh at (0.500, 0.500, 0.500) and F at (0.000, 0.000, 0.000).

For the raw total energy, the calculation gives -3.288 eV/atom. As for the magnetization: 0.90 μB per formula unit. The offset from the most stable computed form comes out at 0 meV/atom. The energy relative to the elements, uncorrected is -652.0 meV per atom.


(11)
## ErScSe2 (GGA-PBE)

Data for a relaxed structure of ErScSe2.

It has space group R-3m (No. 166, hexagonal axes), with a = 3.9688 Å, b = 3.9688 Å, c = 19.2795 Å, α = 90.00°, β = 90.00° and γ = 120.00°. The asymmetric unit holds Er at (0.0000, 0.0000, 0.0000), Sc at (0.0000, 0.0000, 0.5000) and Se at (0.0000, 0.0000, 0.2461).

For the raw total energy, the calculation gives -6.107 eV/atom. As for the magnetization: 0.00 μB per formula unit. The offset from the most stable computed form comes out at 14 meV/atom. The energy relative to the elements, uncorrected is -1641.6 meV per atom.


(12)
## Sm3TlAu (GGA-PBE)

Data for a relaxed structure of Sm3TlAu.

It has space group C2/c (No. 15), with a = 15.091 Å, b = 6.962 Å, c = 11.267 Å, α = 90.00°, β = 93.11° and γ = 90.00°. The asymmetric unit holds Sm at (0.055, 0.204, 0.080), Sm at (0.117, 0.462, 0.834), Sm at (0.187, 0.034, 0.329), Tl at (0.130, 0.264, 0.576), Au at (0.000, 0.106, 0.750) and Au at (0.250, 0.250, 0.000).

The formation energy is -8.4 kcal/mol of atoms. For the raw total energy, the calculation gives -4.323 eV/atom. As for the magnetization: 0.00 μB per formula unit.


(13)
## PmZrCoRh (GGA-PBE)

Data for a relaxed structure of PmZrCoRh.

It has space group F-43m (No. 216), with a = 6.717 Å, b = 6.717 Å, c = 6.717 Å, α = 90.00°, β = 90.00° and γ = 90.00°. The asymmetric unit holds Pm at (0.000, 0.000, 0.000), Zr at (0.000, 0.000, 0.500), Co at (0.250, 0.250, 0.250) and Rh at (0.250, 0.250, 0.750).

The formation energy is -7.6 kcal/mol of atoms. For the raw total energy, the calculation gives -7.268 eV/atom. As for the magnetization: 0.00 μB per formula unit.


(14)
## BiHF6 (GGA-PBE)

Data for a relaxed structure of BiHF6.

It has space group C2/m (No. 12), with a = 5.231 Å, b = 8.988 Å, c = 5.185 Å, α = 90.00°, β = 106.86° and γ = 90.00°. The asymmetric unit holds Bi at (0.000, 0.000, 0.000), H at (0.000, 0.500, 0.500), F at (0.096, 0.500, 0.730) and F at (0.108, 0.157, 0.775).

For the raw total energy, the calculation gives -4.027 eV/atom. As for the magnetization: 0.00 μB per formula unit.


(15)
## AlCdGe2 (GGA-PBE)

Data for a relaxed structure of AlCdGe2.

It has space group Fm-3m (No. 225), with a = 6.821 Å, b = 6.821 Å, c = 6.821 Å, α = 90.00°, β = 90.00° and γ = 90.00°. The asymmetric unit holds Al at (0.000, 0.000, 0.000), Cd at (0.000, 0.000, 0.500) and Ge at (0.250, 0.250, 0.250).

The formation energy is 6.1 kcal/mol of atoms. For the raw total energy, the calculation gives -3.210 eV/atom. As for the magnetization: 0.00 μB per formula unit. The offset from the most stable computed form comes out at 121 meV/atom.


(16)
## Mg2TlBi (GGA-PBE)

Data for a relaxed structure of Mg2TlBi.

It has space group P4/mmm (No. 123), with a = 4.982 Å, b = 4.982 Å, c = 4.227 Å, α = 90.00°, β = 90.00° and γ = 90.00°. The asymmetric unit holds Mg at (0.000, 0.500, 0.000), Tl at (0.000, 0.000, 0.500) and Bi at (0.500, 0.500, 0.500).

The formation energy is -2.0 kcal/mol of atoms. For the raw total energy, the calculation gives -2.447 eV/atom. As for the magnetization: 0.00 μB per formula unit. The offset from the most stable computed form comes out at 9 meV/atom.


(17)
## Ta2VMo (GGA-PBE)

Data for a relaxed structure of Ta2VMo.

It has space group Immm (No. 71), with a = 2.839 Å, b = 4.764 Å, c = 10.502 Å, α = 90.00°, β = 90.00° and γ = 90.00°. The asymmetric unit holds Ta at (0.000, 0.000, 0.246), V at (0.000, 0.000, 0.000) and Mo at (0.000, 0.000, 0.500).

The formation energy is 16.9 kcal/mol of atoms. For the raw total energy, the calculation gives -10.180 eV/atom. As for the magnetization: 0.00 μB per formula unit. The offset from the most stable computed form comes out at 824 meV/atom.


(18)
## ScSiMo2 (GGA-PBE)

Data for a relaxed structure of ScSiMo2.

It has space group Cmmm (No. 65), with a = 5.466 Å, b = 8.477 Å, c = 2.779 Å, α = 90.00°, β = 90.00° and γ = 90.00°. The asymmetric unit holds Sc at (0.000, 0.000, 0.000), Si at (0.000, 0.500, 0.000) and Mo at (0.250, 0.250, 0.500).

For the raw total energy, the calculation gives -8.251 eV/atom. As for the magnetization: 0.00 μB per formula unit. The energy relative to the elements, uncorrected is 103.5 meV per atom.


(19)
## Ho2VWN5 (GGA-PBE)

Data for a relaxed structure of Ho2VWN5.

It has space group Cmc2_1 (No. 36), with a = 3.213 Å, b = 12.889 Å, c = 10.121 Å, α = 90.00°, β = 90.00° and γ = 90.00°. The asymmetric unit holds Ho at (0.000, 0.105, 0.000), Ho at (0.000, 0.144, 0.601), V at (0.000, 0.473, 0.768), W at (0.000, 0.219, 0.320), N at (0.000, 0.049, 0.358), N at (0.000, 0.281, 0.956), N at (0.000, 0.318, 0.685), N at (0.000, 0.369, 0.308) and N at (0.000, 0.490, 0.092).

For the raw total energy, the calculation gives -9.215 eV/atom. As for the magnetization: 0.00 μB per formula unit. The energy relative to the elements, uncorrected is -1119.9 meV per atom.


(20)
## Hf2NpHg (GGA-PBE)

Data for a relaxed structure of Hf2NpHg.

It has space group P4/mmm (No. 123), with a = 3.231 Å, b = 3.231 Å, c = 8.539 Å, α = 90.00°, β = 90.00° and γ = 90.00°. The asymmetric unit holds Hf at (0.000, 0.000, 0.242), Np at (0.500, 0.500, 0.500) and Hg at (0.500, 0.500, 0.000).

The formation energy is 3.6 kcal/mol of atoms. For the raw total energy, the calculation gives -8.129 eV/atom. As for the magnetization: 3.80 μB per formula unit. The offset from the most stable computed form comes out at 0 meV/atom.